16
Lattice="-2.699 -4.885 0.220 5.511 -0.055 -0.904 1.477 -0.409 9.025" Properties=species:S:1:pos:R:3 comment="MnTePd14 (PBE, relaxed)" energy_ev_per_atom=-5.403 vol_a3_per_cell=251.3 n_ef_per_ev_cell=25.67 density_g_cm3=11.049 pbc="T T T"
Pd 4.428 -2.969 3.784
Pd -1.307 -4.386 2.342
Pd -0.571 -4.590 6.844
Pd 3.899 -1.003 -0.683
Pd 0.787 -2.127 6.690
Pd 2.202 -4.612 6.346
Pd 0.064 -1.927 2.273
Pd -0.228 -3.431 -0.118
Pd 2.529 -3.458 -0.570
Pd 1.479 -4.412 1.929
Pd 3.031 -0.515 4.124
Pd 2.818 -1.952 1.724
Pd 1.123 -0.988 -0.229
Pd 3.572 -2.161 6.330
Mn 5.836 -0.503 3.665
Te 1.697 -2.938 4.232